Record 1
Material: CaThPdRh
Method: DFT, PBE-GGA
State: optimized geometry

a = 4.2302 Å, b = 3.8908 Å, c = 11.2846 Å
α = 90.00°, β = 90.00°, γ = 90.00°
Space group Amm2 (No. 38)
Inequivalent atoms, fractional coordinates:
Ca: 0.0000 0.0000 0.0000
Th: 0.5000 0.0000 0.7251
Pd: 0.5000 0.0000 0.4415
Rh: 0.0000 0.0000 0.2663

Computed properties:
For the relative energy among the computed polymorphs, the calculation gives 0.0 meV per atom. As for the calculated formation energy: -0.766 eV/atom.

=====

Record 2
Material: CaTmPdRh
Method: DFT, PBE-GGA
State: optimized geometry

a = 3.3956 Å, b = 3.3956 Å, c = 7.1684 Å
α = 90.00°, β = 90.00°, γ = 90.00°
Space group P4mm (No. 99)
Inequivalent atoms, fractional coordinates:
Ca: 0.0000 0.0000 0.0000
Tm: 0.0000 0.0000 0.4880
Pd: 0.5000 0.5000 0.7230
Rh: 0.5000 0.5000 0.2692

Computed properties:
For the relative energy among the computed polymorphs, the calculation gives 0.0 meV per atom. As for the calculated formation energy: -0.779 eV/atom.

=====

Record 3
Material: CaTmPdRh
Method: DFT, PBE-GGA
State: optimized geometry

a = 6.8733 Å, b = 6.8733 Å, c = 6.8733 Å
α = 90.00°, β = 90.00°, γ = 90.00°
Space group F-43m (No. 216)
Inequivalent atoms, fractional coordinates:
Ca: 0.0000 0.0000 0.0000
Tm: 0.0000 0.0000 0.5000
Pd: 0.2500 0.2500 0.2500
Rh: 0.2500 0.2500 0.7500

Computed properties:
For the relative energy among the computed polymorphs, the calculation gives 49.8 meV per atom. As for the calculated formation energy: -0.729 eV/atom.